This record from the Alexandria database describes crystalline YSbIr2 at its relaxed geometry. The functional is GGA-PBEsol.

a b c (Å): 4.2928 4.2920 4.9276
angles (deg): 115.82 115.82 90.00
Atoms (fractional coordinates):
Ir 0.7500 0.7500 0.4999
Ir 0.2500 0.2500 0.5001
Sb 0.5000 0.0000 0.0000
Y 0.0000 0.5000 0.0000

Output
Formation energy from raw total energies (eV per atom): -0.442
Calculated density (Mg/m³): 13.82
Raw total energy (eV per atom): -8.1991



This record from the Alexandria database describes crystalline CaY2Co at its relaxed geometry. The functional is GGA-PBEsol.

a b c (Å): 3.3536 5.8060 6.0076
angles (deg): 116.45 102.34 97.78
Atoms (fractional coordinates):
Y 0.0000 0.0000 0.5000
Y 0.5000 0.5000 0.5000
Ca 0.5000 0.0000 0.0000
Co 0.0000 0.5000 0.0000

Output
Calculated density (Mg/m³): 4.66
Raw total energy (eV per atom): -5.3506



This record from the Alexandria database describes crystalline Mo5W at its relaxed geometry. The functional is GGA-PBEsol.

a b c (Å): 3.1329 5.1859 6.2663
angles (deg): 107.58 90.00 107.58
Atoms (fractional coordinates):
Mo 0.6670 0.3340 0.8331
Mo 0.3335 0.6670 0.6662
Mo 0.0000 0.0000 0.5000
Mo 0.6665 0.3330 0.3338
Mo 0.3330 0.6660 0.1669
W 0.0000 0.0000 0.0000

Output
Calculated density (Mg/m³): 11.97
Raw total energy (eV per atom): -12.1076



This record from the Alexandria database describes crystalline Li3FeNi3O8 at its relaxed geometry. The functional is GGA-PBEsol.

a b c (Å): 5.6024 5.6024 9.0992
angles (deg): 90.00 90.00 120.00
Atoms (fractional coordinates):
Li 0.1678 0.3357 0.4473
Li 0.1678 0.8322 0.4473
Li 0.6643 0.8322 0.4473
Li 0.3357 0.1678 0.9473
Li 0.8322 0.1678 0.9473
Li 0.8322 0.6643 0.9473
Fe 0.3333 0.6667 0.9929
Fe 0.6667 0.3333 0.4929
Ni 0.1695 0.3390 0.7141
Ni 0.1695 0.8305 0.7141
Ni 0.6610 0.8305 0.7141
Ni 0.3390 0.1695 0.2141
Ni 0.8305 0.1695 0.2141
Ni 0.8305 0.6610 0.2141
O 0.0000 0.0000 0.3145
O 0.0000 0.0000 0.8145
O 0.1652 0.3305 0.0883
O 0.0371 0.5186 0.8505
O 0.1652 0.8348 0.0883
O 0.3333 0.6667 0.6072
O 0.4814 0.5186 0.8505
O 0.4814 0.9629 0.8505
O 0.3305 0.1652 0.5883
O 0.6695 0.8348 0.0883
O 0.5186 0.0371 0.3505
O 0.6667 0.3333 0.1072
O 0.5186 0.4814 0.3505
O 0.8348 0.1652 0.5883
O 0.9629 0.4814 0.3505
O 0.8348 0.6695 0.5883

Output
Formation energy from raw total energies (eV per atom): -1.294
Calculated density (Mg/m³): 5.11
Raw total energy (eV per atom): -6.3156



This record from the Alexandria database describes crystalline BaCuOs2 at its relaxed geometry. The functional is GGA-PBEsol.

a b c (Å): 2.8733 2.8733 9.9459
angles (deg): 81.69 81.69 60.00
Atoms (fractional coordinates):
Ba 0.5000 0.5000 0.5000
Cu 0.0000 0.0000 0.0000
Os 0.2662 0.2662 0.2014
Os 0.7338 0.7338 0.7986

Output
Calculated density (Mg/m³): 13.77
Raw total energy (eV per atom): -6.4735



This record from the Alexandria database describes crystalline YZn2Au at its relaxed geometry. The functional is GGA-PBEsol.

a b c (Å): 3.2062 4.8836 5.7433
angles (deg): 113.81 104.26 94.42
Atoms (fractional coordinates):
Au 0.0000 0.5000 0.0000
Y 0.5000 0.0000 0.0000
Zn 0.5000 0.5000 0.5000
Zn 0.0000 0.0000 0.5000

Output
Calculated density (Mg/m³): 8.85
Raw total energy (eV per atom): -3.6004



This record from the Alexandria database describes crystalline BaNi at its relaxed geometry. The functional is GGA-PBEsol.

a b c (Å): 4.9790 4.9790 4.9790
angles (deg): 65.73 65.73 65.73
Atoms (fractional coordinates):
Ba 0.3585 0.3585 0.3585
Ba 0.6415 0.6415 0.6415
Ni 0.0990 0.0990 0.0990
Ni 0.9010 0.9010 0.9010

Output
Calculated density (Mg/m³): 6.63
Raw total energy (eV per atom): -3.6861



This record from the Alexandria database describes crystalline CaTeO3 at its relaxed geometry. The functional is GGA-PBEsol.

a b c (Å): 5.6655 8.3642 11.2812
angles (deg): 110.54 90.00 90.00
Atoms (fractional coordinates):
Ca 0.2555 0.9795 0.3824
Ca 0.7555 0.0205 0.6176
Ca 0.3355 0.9996 0.8674
Ca 0.8355 0.0004 0.1326
Ca 0.8167 0.2987 0.9474
Ca 0.3167 0.7013 0.0526
O 0.2046 0.7516 0.6986
O 0.7046 0.2484 0.3014
O 0.9997 0.8149 0.4807
O 0.4997 0.1851 0.5193
O 0.4771 0.8191 0.4987
O 0.9771 0.1809 0.5013
O 0.0668 0.1453 0.7546
O 0.5668 0.8547 0.2454
O 0.5276 0.2394 0.7947
O 0.0276 0.7606 0.2053
O 0.1290 0.4764 0.9045
O 0.6290 0.5236 0.0955
O 0.1001 0.2169 0.0469
O 0.6001 0.7831 0.9531
O 0.5663 0.1487 0.0509
O 0.0663 0.8513 0.9491
O 0.2228 0.0806 0.2199
O 0.7228 0.9194 0.7801
Te 0.2507 0.3293 0.7473
Te 0.7507 0.6707 0.2527
Te 0.2323 0.6838 0.5226
Te 0.7323 0.3162 0.4774
Te 0.3352 0.2617 0.1729
Te 0.8352 0.7383 0.8271

Output
Formation energy from raw total energies (eV per atom): -1.976
Calculated density (Mg/m³): 4.29
Raw total energy (eV per atom): -6.2576



This record from the Alexandria database describes crystalline YMo2F at its relaxed geometry. The functional is GGA-PBEsol.

a b c (Å): 4.5100 4.5100 4.5100
angles (deg): 60.00 60.00 60.00
Atoms (fractional coordinates):
Y 0.5000 0.5000 0.5000
Mo 0.2500 0.2500 0.2500
Mo 0.7500 0.7500 0.7500
F 0.0000 0.0000 0.0000

Output
Formation energy from raw total energies (eV per atom): 0.978
Calculated density (Mg/m³): 7.67
Raw total energy (eV per atom): -7.0935



This record from the Alexandria database describes crystalline U4Ga12Pd at its relaxed geometry. The functional is GGA-PBEsol.

a b c (Å): 7.3293 7.3293 7.3293
angles (deg): 109.47 109.47 109.47
Atoms (fractional coordinates):
U 0.0000 0.0000 0.5000
U 0.5000 0.5000 0.5000
U 0.5000 0.0000 0.0000
U 0.0000 0.5000 0.0000
Ga 0.7500 0.5000 0.2500
Ga 0.0000 0.7043 0.7043
Ga 0.7043 0.7043 0.0000
Ga 0.5000 0.7500 0.2500
Ga 0.2500 0.7500 0.5000
Ga 0.2500 0.5000 0.7500
Ga 0.7500 0.2500 0.5000
Ga 0.2957 0.0000 0.2957
Ga 0.5000 0.2500 0.7500
Ga 0.0000 0.2957 0.2957
Ga 0.7043 0.0000 0.7043
Ga 0.2957 0.2957 0.0000
Pd 0.0000 0.0000 0.0000

Output
Calculated density (Mg/m³): 10.38
Raw total energy (eV per atom): -5.8373



This record from the Alexandria database describes crystalline ScRu3 at its relaxed geometry. The functional is GGA-PBEsol.

a b c (Å): 2.7610 3.7755 5.6596
angles (deg): 90.00 90.00 90.00
Atoms (fractional coordinates):
Ru 0.0000 0.0000 0.7259
Ru 0.0000 0.0000 0.2741
Ru 0.5000 0.5000 0.5000
Sc 0.5000 0.5000 0.0000

Output
Calculated density (Mg/m³): 9.80
Raw total energy (eV per atom): -9.2521



This record from the Alexandria database describes crystalline TiOF3 at its relaxed geometry. The functional is GGA-PBEsol.

a b c (Å): 3.8199 3.8199 3.8199
angles (deg): 90.00 90.00 90.00
Atoms (fractional coordinates):
F 0.0000 0.5000 0.0000
F 0.0000 0.0000 0.5000
F 0.5000 0.0000 0.0000
O 0.0000 0.0000 0.0000
Ti 0.5000 0.5000 0.5000

Output
Formation energy from raw total energies (eV per atom): -0.440
Calculated density (Mg/m³): 3.60
Raw total energy (eV per atom): -4.3112



This record from the Alexandria database describes crystalline ZrCdAg2 at its relaxed geometry. The functional is GGA-PBEsol.

a b c (Å): 4.6971 4.6971 4.6971
angles (deg): 60.00 60.00 60.00
Atoms (fractional coordinates):
Ag 0.2500 0.2500 0.2500
Ag 0.7500 0.7500 0.7500
Zr 0.0000 0.0000 0.0000
Cd 0.5000 0.5000 0.5000

Output
Calculated density (Mg/m³): 9.50
Raw total energy (eV per atom): -4.3665



This record from the Alexandria database describes crystalline SrReSb2I at its relaxed geometry. The functional is GGA-PBEsol.

a b c (Å): 5.8980 5.9793 5.9793
angles (deg): 90.00 90.00 90.00
Atoms (fractional coordinates):
I 0.5000 0.0000 0.0000
Re 0.5000 0.5000 0.5000
Sr 0.0000 0.0000 0.0000
Sb 0.0000 0.0000 0.5000
Sb 0.0000 0.5000 0.0000

Output
Formation energy from raw total energies (eV per atom): 1.754
Calculated density (Mg/m³): 5.07
Raw total energy (eV per atom): -3.4566



This record from the Alexandria database describes crystalline CuSb2Te at its relaxed geometry. The functional is GGA-PBEsol.

a b c (Å): 4.2638 4.2638 5.1805
angles (deg): 90.00 90.00 90.00
Atoms (fractional coordinates):
Cu 0.0000 0.0000 0.5000
Sb 0.0000 0.5000 0.0000
Sb 0.5000 0.0000 0.0000
Te 0.5000 0.5000 0.5000

Output
Formation energy from raw total energies (eV per atom): 0.408
Calculated density (Mg/m³): 7.66
Raw total energy (eV per atom): -3.8353



This record from the Alexandria database describes crystalline ZnTcP2 at its relaxed geometry. The functional is GGA-PBEsol.

a b c (Å): 2.8984 2.8984 6.7253
angles (deg): 90.00 90.00 90.00
Atoms (fractional coordinates):
P 0.0000 0.0000 0.7868
P 0.0000 0.0000 0.2132
Tc 0.5000 0.5000 0.0000
Zn 0.5000 0.5000 0.5000

Output
Calculated density (Mg/m³): 6.62
Raw total energy (eV per atom): -6.2313



This record from the Alexandria database describes crystalline Mg3ZnCu at its relaxed geometry. The functional is GGA-PBEsol.

a b c (Å): 4.8638 4.8638 4.8638
angles (deg): 90.00 90.00 90.00
Atoms (fractional coordinates):
Zn 0.0000 0.0000 0.0000
Mg 0.0000 0.5000 0.0000
Mg 0.0000 0.0000 0.5000
Mg 0.5000 0.0000 0.0000
Cu 0.5000 0.5000 0.5000

Output
Calculated density (Mg/m³): 2.91
Raw total energy (eV per atom): -1.7028



This record from the Alexandria database describes crystalline CeIrOs at its relaxed geometry. The functional is GGA-PBEsol.

a b c (Å): 5.0528 5.3891 5.3891
angles (deg): 60.30 62.04 62.04
Atoms (fractional coordinates):
Ce 0.1290 0.6210 0.1210
Ce 0.8710 0.3790 0.8790
Ir 0.5000 0.5000 0.5000
Ir 0.5000 0.0000 0.0000
Os 0.5000 0.0000 0.5000
Os 0.0000 0.0000 0.5000

Output
Calculated density (Mg/m³): 16.20
Raw total energy (eV per atom): -10.0015



This record from the Alexandria database describes crystalline Fe2HgCl at its relaxed geometry. The functional is GGA-PBEsol.

a b c (Å): 3.6797 3.6797 5.4905
angles (deg): 109.58 109.58 90.00
Atoms (fractional coordinates):
Cl 0.2500 0.7500 0.5000
Hg 0.5000 0.5000 0.0000
Fe 0.0000 0.0000 0.0000
Fe 0.7500 0.2500 0.5000

Output
Formation energy from raw total energies (eV per atom): 0.682
Calculated density (Mg/m³): 8.82
Raw total energy (eV per atom): -4.4438



This record from the Alexandria database describes crystalline Ba2ScRh at its relaxed geometry. The functional is GGA-PBEsol.

a b c (Å): 3.6670 3.9085 9.5704
angles (deg): 101.69 90.00 90.00
Atoms (fractional coordinates):
Ba 0.0000 0.9003 0.9284
Ba 0.5000 0.6007 0.3227
Rh 0.0000 0.7403 0.6059
Sc 0.5000 0.2587 0.6429

Output
Calculated density (Mg/m³): 5.22
Raw total energy (eV per atom): -4.9283



This record from the Alexandria database describes crystalline ZrCu2Ni at its relaxed geometry. The functional is GGA-PBEsol.

a b c (Å): 2.7767 3.3569 5.8219
angles (deg): 90.00 90.00 90.00
Atoms (fractional coordinates):
Cu 0.5000 0.0000 0.0448
Cu 0.0000 0.5000 0.2505
Ni 0.5000 0.0000 0.4655
Zr 0.0000 0.5000 0.7392

Output
Calculated density (Mg/m³): 8.48
Raw total energy (eV per atom): -6.1081



This record from the Alexandria database describes crystalline TiNi at its relaxed geometry. The functional is GGA-PBEsol.

a b c (Å): 2.6612 4.2283 4.5937
angles (deg): 90.00 90.00 90.00
Atoms (fractional coordinates):
Ni 0.5000 0.7500 0.8187
Ni 0.5000 0.2500 0.1813
Ti 0.0000 0.7500 0.2869
Ti 0.0000 0.2500 0.7131

Output
Calculated density (Mg/m³): 6.85
Raw total energy (eV per atom): -7.6315



This record from the Alexandria database describes crystalline ZrCoOs2 at its relaxed geometry. The functional is GGA-PBEsol.

a b c (Å): 2.7821 2.7821 7.5289
angles (deg): 90.00 90.00 90.00
Atoms (fractional coordinates):
Co 0.5000 0.5000 0.7723
Os 0.0000 0.0000 0.9910
Os 0.5000 0.5000 0.2206
Zr 0.0000 0.0000 0.5161

Output
Calculated density (Mg/m³): 15.12
Raw total energy (eV per atom): -10.2818



This record from the Alexandria database describes crystalline Mg2TcOs at its relaxed geometry. The functional is GGA-PBEsol.

a b c (Å): 3.3790 3.3790 5.3634
angles (deg): 90.00 90.00 90.00
Atoms (fractional coordinates):
Mg 0.0000 0.0000 0.7517
Mg 0.0000 0.0000 0.2483
Os 0.5000 0.5000 0.0000
Tc 0.5000 0.5000 0.5000

Output
Calculated density (Mg/m³): 9.13
Raw total energy (eV per atom): -6.1418



This record from the Alexandria database describes crystalline Ta2RhAu at its relaxed geometry. The functional is GGA-PBEsol.

a b c (Å): 2.8563 4.9035 4.9035
angles (deg): 110.99 90.00 90.00
Atoms (fractional coordinates):
Au 0.5000 0.0000 0.0000
Rh 0.5000 0.5000 0.5000
Ta 0.0000 0.5000 0.0000
Ta 0.0000 0.0000 0.5000

Output
Calculated density (Mg/m³): 17.14
Raw total energy (eV per atom): -9.5770



This record from the Alexandria database describes crystalline ZrTaCr4 at its relaxed geometry. The functional is GGA-PBEsol.

a b c (Å): 4.9100 4.9100 4.9100
angles (deg): 60.00 60.00 60.00
Atoms (fractional coordinates):
Cr 0.3753 0.3753 0.3753
Cr 0.3753 0.3753 0.8741
Cr 0.8741 0.3753 0.3753
Cr 0.3753 0.8741 0.3753
Zr 0.0000 0.0000 0.0000
Ta 0.7500 0.7500 0.7500

Output
Calculated density (Mg/m³): 9.53
Raw total energy (eV per atom): -10.5098